Compound: Ba3Sn2Hg4
Source: Alexandria via LeMat-Bulk
Functional: PBE
Structure: relaxed

Unit cell a=5.139 b=6.761 c=10.188 alpha=69.62 beta=75.39 gamma=67.66
Fractional positions:
Sn1 0.398 0.935 0.270
Sn2 0.602 0.065 0.730
Hg1 0.288 0.380 0.043
Hg2 0.942 0.723 0.393
Hg3 0.712 0.620 0.957
Hg4 0.058 0.277 0.607
Ba1 0.000 0.000 0.000
Ba2 0.669 0.327 0.335
Ba3 0.331 0.673 0.665

Output
Crystal system: monoclinic
Mass density (g/cm³): 7.93
Raw total energy (eV/cell): -19.97
Magnetization (μB/f.u.): 0.00
Energy relative to the elements (eV/f.u.): -4.99